Entry 1:
Entry from Alexandria: a relaxed structure of Pr4DyAu5 (GGA-PBE).

Calculated values
total magnetization = 0.00 μB per formula unit
formation energy = -0.769 eV/atom
symmetry = P4/mmm, No. 123

```
Pr4DyAu5
1.0
3.684 0.000 0.000
0.000 3.684 0.000
0.000 0.000 18.881
Pr Dy Au
4 1 5
direct
0.000 0.000 0.101 Pr
0.000 0.000 0.304 Pr
0.000 0.000 0.696 Pr
0.000 0.000 0.899 Pr
0.000 0.000 0.500 Dy
0.500 0.500 0.000 Au
0.500 0.500 0.203 Au
0.500 0.500 0.411 Au
0.500 0.500 0.589 Au
0.500 0.500 0.797 Au
```

=====

Entry 2:
Entry from Alexandria: a relaxed structure of Np3Ti5H12 (GGA-PBE).

Calculated values
total magnetization = 12.68 μB per formula unit
E_tot = -6.131 eV/atom
symmetry = Ia-3d, No. 230

```
Np3Ti5H12
1.0
-5.871 5.871 5.871
5.871 -5.871 5.871
5.871 5.871 -5.871
Np Ti H
12 20 48
direct
0.125 0.250 0.375 Np
0.125 0.375 0.750 Np
0.250 0.375 0.125 Np
0.250 0.875 0.625 Np
0.375 0.125 0.250 Np
0.375 0.750 0.125 Np
0.625 0.250 0.875 Np
0.625 0.875 0.750 Np
0.750 0.125 0.375 Np
0.750 0.625 0.875 Np
0.875 0.625 0.250 Np
0.875 0.750 0.625 Np
0.000 0.000 0.000 Ti
0.000 0.000 0.500 Ti
0.000 0.500 0.000 Ti
0.000 0.500 0.500 Ti
0.125 0.750 0.875 Ti
0.125 0.875 0.250 Ti
0.250 0.125 0.875 Ti
0.250 0.625 0.375 Ti
0.375 0.250 0.625 Ti
0.375 0.625 0.750 Ti
0.500 0.000 0.000 Ti
0.500 0.000 0.500 Ti
0.500 0.500 0.000 Ti
0.500 0.500 0.500 Ti
0.625 0.375 0.250 Ti
0.625 0.750 0.375 Ti
0.750 0.375 0.625 Ti
0.750 0.875 0.125 Ti
0.875 0.125 0.750 Ti
0.875 0.250 0.125 Ti
0.043 0.210 0.125 H
0.043 0.333 0.918 H
0.082 0.625 0.415 H
0.082 0.957 0.667 H
0.085 0.710 0.667 H
0.085 0.875 0.418 H
0.125 0.043 0.210 H
0.125 0.582 0.915 H
0.167 0.210 0.585 H
0.167 0.457 0.582 H
0.210 0.125 0.043 H
0.210 0.585 0.167 H
0.290 0.333 0.915 H
0.290 0.457 0.375 H
0.333 0.915 0.290 H
0.333 0.918 0.043 H
0.375 0.290 0.457 H
0.375 0.585 0.918 H
0.415 0.082 0.625 H
0.415 0.833 0.790 H
0.418 0.085 0.875 H
0.418 0.833 0.543 H
0.457 0.375 0.290 H
0.457 0.582 0.167 H
0.543 0.418 0.833 H
0.543 0.625 0.710 H
0.582 0.167 0.457 H
0.582 0.915 0.125 H
0.585 0.167 0.210 H
0.585 0.918 0.375 H
0.625 0.415 0.082 H
0.625 0.710 0.543 H
0.667 0.082 0.957 H
0.667 0.085 0.710 H
0.710 0.543 0.625 H
0.710 0.667 0.085 H
0.790 0.415 0.833 H
0.790 0.875 0.957 H
0.833 0.543 0.418 H
0.833 0.790 0.415 H
0.875 0.418 0.085 H
0.875 0.957 0.790 H
0.915 0.125 0.582 H
0.915 0.290 0.333 H
0.918 0.043 0.333 H
0.918 0.375 0.585 H
0.957 0.667 0.082 H
0.957 0.790 0.875 H
```

=====

Entry 3:
Entry from Alexandria: a relaxed structure of MgTaH (GGA-PBE).

Calculated values
total magnetization = 0.00 μB per formula unit
energy relative to the lowest polymorph listed for this composition = 2.0274 eV per atom
symmetry = F-43m, No. 216

```
MgTaH
1.0
6.055 0.000 0.000
0.000 6.055 0.000
0.000 0.000 6.055
Mg Ta H
4 4 4
direct
0.000 0.000 0.000 Mg
0.000 0.500 0.500 Mg
0.500 0.000 0.500 Mg
0.500 0.500 0.000 Mg
0.250 0.250 0.250 Ta
0.250 0.750 0.750 Ta
0.750 0.250 0.750 Ta
0.750 0.750 0.250 Ta
0.000 0.000 0.500 H
0.000 0.500 0.000 H
0.500 0.000 0.000 H
0.500 0.500 0.500 H
```

=====

Entry 4:
Entry from Alexandria: a relaxed structure of Y3Tl2Zn (GGA-PBE).

Calculated values
total magnetization = 0.21 μB per formula unit
formation energy = -0.384 eV/atom
symmetry = P4/mmm, No. 123

```
Y3Tl2Zn
1.0
3.674 0.000 0.000
0.000 3.674 0.000
0.000 0.000 11.515
Y Tl Zn
3 2 1
direct
0.000 0.000 0.000 Y
0.000 0.000 0.352 Y
0.000 0.000 0.648 Y
0.500 0.500 0.177 Tl
0.500 0.500 0.823 Tl
0.500 0.500 0.500 Zn
```

=====

Entry 5:
Entry from Alexandria: a relaxed structure of Ho4PPdSe2 (GGA-PBE).

Calculated values
total magnetization = 0.00 μB per formula unit
ΔE_f (raw) = -1.47 eV/atom
symmetry = P2/m, No. 10

```
Ho4PPdSe2
1.0
7.052 0.000 0.000
0.000 3.997 0.000
-2.267 0.000 6.690
Ho P Pd Se
4 1 1 2
direct
0.238 0.000 0.234 Ho
0.251 0.500 0.764 Ho
0.749 0.500 0.236 Ho
0.762 0.000 0.766 Ho
0.000 0.500 0.000 P
0.500 0.000 0.000 Pd
0.000 0.000 0.500 Se
0.500 0.500 0.500 Se
```

=====

Entry 6:
Entry from Alexandria: a relaxed structure of Ba4Ag2P (GGA-PBE).

Calculated values
total magnetization = 0.24 μB per formula unit
formation energy = -0.372 eV/atom
symmetry = I4/mmm, No. 139

```
Ba4Ag2P
1.0
6.374 0.000 0.000
0.000 6.374 0.000
0.000 0.000 15.980
Ba Ag P
8 4 2
direct
0.000 0.000 0.194 Ba
0.000 0.000 0.806 Ba
0.000 0.500 0.000 Ba
0.000 0.500 0.500 Ba
0.500 0.000 0.000 Ba
0.500 0.000 0.500 Ba
0.500 0.500 0.306 Ba
0.500 0.500 0.694 Ba
0.000 0.000 0.408 Ag
0.000 0.000 0.592 Ag
0.500 0.500 0.092 Ag
0.500 0.500 0.908 Ag
0.000 0.000 0.000 P
0.500 0.500 0.500 P
```

=====

Entry 7:
Entry from Alexandria: a relaxed structure of Zr2ZnCl (GGA-PBE).

Calculated values
total magnetization = 3.28 μB per formula unit
energy relative to the lowest polymorph listed for this composition = 0.9094 eV per atom
ΔE_f (raw) = 0.43 eV/atom
symmetry = F-43m, No. 216

```
Zr2ZnCl
1.0
7.000 0.000 0.000
0.000 7.000 0.000
0.000 0.000 7.000
Zr Zn Cl
8 4 4
direct
0.000 0.000 0.000 Zr
0.000 0.500 0.500 Zr
0.250 0.250 0.250 Zr
0.250 0.750 0.750 Zr
0.500 0.000 0.500 Zr
0.500 0.500 0.000 Zr
0.750 0.250 0.750 Zr
0.750 0.750 0.250 Zr
0.250 0.250 0.750 Zn
0.250 0.750 0.250 Zn
0.750 0.250 0.250 Zn
0.750 0.750 0.750 Zn
0.000 0.000 0.500 Cl
0.000 0.500 0.000 Cl
0.500 0.000 0.000 Cl
0.500 0.500 0.500 Cl
```

=====

Entry 8:
Entry from Alexandria: a relaxed structure of ZrCd4Pd2 (GGA-PBE).

Calculated values
total magnetization = 0.00 μB per formula unit
formation energy = -0.313 eV/atom
symmetry = P-1, No. 2

```
ZrCd4Pd2
1.0
4.731 0.000 0.000
-2.363 4.121 0.000
-0.017 -2.666 7.036
Zr Cd Pd
1 4 2
direct
0.000 0.000 0.000 Zr
0.142 0.283 0.426 Cd
0.411 0.823 0.237 Cd
0.589 0.177 0.763 Cd
0.858 0.717 0.574 Cd
0.278 0.556 0.830 Pd
0.722 0.444 0.170 Pd
```

=====

Entry 9:
Entry from Alexandria: a relaxed structure of CoNiIr2 (GGA-PBE).

Calculated values
total magnetization = 2.72 μB per formula unit
energy relative to the lowest polymorph listed for this composition = 0.2940 eV per atom
formation energy = 0.299 eV/atom
symmetry = Cmm2, No. 35

```
CoNiIr2
1.0
2.676 0.000 0.000
0.000 4.575 0.000
0.000 0.000 8.775
Co Ni Ir
2 2 4
direct
0.000 0.000 0.000 Co
0.500 0.500 0.000 Co
0.000 0.500 0.230 Ni
0.500 0.000 0.230 Ni
0.000 0.000 0.480 Ir
0.000 0.500 0.752 Ir
0.500 0.000 0.752 Ir
0.500 0.500 0.480 Ir
```

=====

Entry 10:
Entry from Alexandria: a relaxed structure of MnTc2Br (GGA-PBE).

Calculated values
total magnetization = 2.34 μB per formula unit
energy relative to the lowest polymorph listed for this composition = 0.4629 eV per atom
ΔE_f (raw) = 0.76 eV/atom
symmetry = Immm, No. 71

```
MnTc2Br
1.0
2.970 0.000 0.000
0.000 4.462 0.000
0.000 0.000 9.305
Mn Tc Br
2 4 2
direct
0.000 0.000 0.000 Mn
0.500 0.500 0.500 Mn
0.000 0.500 0.233 Tc
0.000 0.500 0.767 Tc
0.500 0.000 0.267 Tc
0.500 0.000 0.733 Tc
0.000 0.000 0.500 Br
0.500 0.500 0.000 Br
```

=====

Entry 11:
Entry from Alexandria: a relaxed structure of Pa2BePb (GGA-PBE).

Calculated values
total magnetization = 0.00 μB per formula unit
formation energy = 0.226 eV/atom
symmetry = R-3m, No. 166

```
Pa2BePb
1.0
3.227 0.000 0.000
-1.614 2.795 0.000
0.000 0.000 30.314
Pa Be Pb
6 3 3
direct
0.000 0.000 0.236 Pa
0.000 0.000 0.764 Pa
0.333 0.667 0.430 Pa
0.333 0.667 0.903 Pa
0.667 0.333 0.097 Pa
0.667 0.333 0.570 Pa
0.000 0.000 0.500 Be
0.333 0.667 0.167 Be
0.667 0.333 0.833 Be
0.000 0.000 0.000 Pb
0.333 0.667 0.667 Pb
0.667 0.333 0.333 Pb
```

=====

Entry 12:
Entry from Alexandria: a relaxed structure of La2TlSn (GGA-PBE).

Calculated values
total magnetization = 0.00 μB per formula unit
formation energy = -0.600 eV/atom
symmetry = P4/mmm, No. 123

```
La2TlSn
1.0
5.202 0.000 0.000
0.000 5.202 0.000
0.000 0.000 4.541
La Tl Sn
2 1 1
direct
0.000 0.500 0.000 La
0.500 0.000 0.000 La
0.000 0.000 0.500 Tl
0.500 0.500 0.500 Sn
```